Compound: RbPr3S4
Source: Alexandria
Functional: GGA-PBE
Structure: relaxed

Output
- mass density (g/cm3) = 4.9
- V (Å³/cell) = 435.2
- DOS(E_F) (states/eV/atom) = 0.44
- formation energy (no corrections) (eV per atom) = -1.906
- uncorrected energy (eV/atom) = -5.88

Cell and atoms, written as extended XYZ:
```
16
Lattice="4.177 0.000 0.000 -2.089 3.617 0.000 0.000 0.000 28.799" Properties=species:S:1:pos:R:3 pbc="T T T"
Rb 0.000 2.412 7.200
Rb 2.089 1.206 21.599
Pr 0.000 0.000 0.000
Pr 0.000 0.000 14.399
Pr 0.000 2.412 17.711
Pr 0.000 2.412 25.487
Pr 2.089 1.206 3.312
Pr 2.089 1.206 11.088
S 0.000 0.000 4.865
S 0.000 0.000 9.534
S 0.000 0.000 19.264
S 0.000 0.000 23.934
S 0.000 2.412 1.667
S 0.000 2.412 12.732
S 2.089 1.206 16.066
S 2.089 1.206 27.131
```